TaPb2Br (PBE, optimized geometry); crystal system = tetragonal; energy above the most stable polymorph in this dataset = 0.289 eV per atom; density of states at the Fermi level = 2.611 states/eV per cell; SG = P4/mmm, No. 123
1.0
3.362 0.000 0.000
0.000 3.362 0.000
0.000 0.000 8.949
Ta Pb Br
1 2 1
Cartesian
0.000 0.000 0.000
1.681 1.681 2.097
1.681 1.681 6.852
0.000 0.000 4.474


Ta2PbBr (PBE, optimized geometry); crystal system = orthorhombic; energy above the most stable polymorph in this dataset = 0.517 eV per atom; density of states at the Fermi level = 3.057 states/eV per cell; SG = Imm2, No. 44
1.0
-1.575 2.593 5.547
1.575 -2.593 5.547
1.575 2.593 -5.547
Ta Pb Br
2 1 1
Cartesian
0.000 0.000 0.000
0.000 2.593 3.417
0.000 0.000 5.931
1.575 0.000 2.597


Ta2PbBr (PBE, optimized geometry); crystal system = cubic; energy above the most stable polymorph in this dataset = 0.818 eV per atom; density of states at the Fermi level = 3.011 states/eV per cell; SG = F-43m, No. 216
1.0
0.000 3.491 3.491
3.491 0.000 3.491
3.491 3.491 0.000
Ta Pb Br
2 1 1
Cartesian
0.000 0.000 0.000
1.745 1.745 1.745
3.491 3.491 3.491
5.236 5.236 5.236


Ta2PbBr (PBE, optimized geometry); crystal system = tetragonal; energy above the most stable polymorph in this dataset = 0.058 eV per atom; density of states at the Fermi level = 1.660 states/eV per cell; SG = P4mm, No. 99
1.0
3.040 0.000 0.000
0.000 3.040 0.000
0.000 0.000 10.287
Ta Pb Br
2 1 1
Cartesian
0.000 0.000 0.000
1.520 1.520 2.152
1.520 1.520 7.816
0.000 0.000 3.960


TaPbBr (PBE, optimized geometry); crystal system = hexagonal; energy above the most stable polymorph in this dataset = 0.466 eV per atom; density of states at the Fermi level = 1.835 states/eV per cell; SG = P-6m2, No. 187
1.0
4.885 0.000 0.000
-2.442 4.231 0.000
0.000 0.000 3.208
Ta Pb Br
1 1 1
Cartesian
0.000 0.000 0.000
0.000 2.820 1.604
2.442 1.410 0.000


TaPbBr (PBE, optimized geometry); crystal system = cubic; energy above the most stable polymorph in this dataset = 1.372 eV per atom; density of states at the Fermi level = 1.036 states/eV per cell; SG = F-43m, No. 216
1.0
0.000 3.386 3.386
3.386 0.000 3.386
3.386 3.386 0.000
Ta Pb Br
1 1 1
Cartesian
0.000 0.000 0.000
3.386 3.386 3.386
1.693 1.693 1.693


TaPb2Br (PBE, optimized geometry); crystal system = orthorhombic; energy above the most stable polymorph in this dataset = 0.420 eV per atom; density of states at the Fermi level = 2.070 states/eV per cell; SG = Pmmm, No. 47
1.0
3.269 0.000 0.000
0.000 4.839 0.000
0.000 0.000 6.268
Ta Pb Br
1 2 1
Cartesian
0.000 0.000 0.000
1.634 2.419 1.512
1.634 2.419 4.755
0.000 0.000 3.134


TaPbBr (PBE, optimized geometry); crystal system = tetragonal; energy above the most stable polymorph in this dataset = 0.200 eV per atom; density of states at the Fermi level = 1.615 states/eV per cell; SG = I4mm, No. 107
1.0
-1.575 1.575 7.738
1.575 -1.575 7.738
1.575 1.575 -7.738
Ta Pb Br
1 1 1
Cartesian
0.000 0.000 0.000
0.000 0.000 5.390
0.000 0.000 9.404


TaPb2Br (PBE, optimized geometry); crystal system = orthorhombic; energy above the most stable polymorph in this dataset = 0.278 eV per atom; density of states at the Fermi level = 2.899 states/eV per cell; SG = Cmmm, No. 65
1.0
2.093 -2.621 0.000
2.093 2.621 0.000
0.000 0.000 9.260
Ta Pb Br
1 2 1
Cartesian
0.000 0.000 0.000
2.093 0.000 2.163
2.093 0.000 7.097
0.000 0.000 4.630


TaPb2Br (PBE, optimized geometry); crystal system = tetragonal; energy above the most stable polymorph in this dataset = 0.836 eV per atom; density of states at the Fermi level = 6.971 states/eV per cell; SG = I-42d, No. 122
1.0
-3.208 3.208 7.633
3.208 -3.208 7.633
3.208 3.208 -7.633
Ta Pb Br
2 4 2
Cartesian
0.000 0.000 0.000
0.000 3.208 3.817
4.811 1.189 -1.908
1.189 1.604 1.908
-1.604 2.019 5.725
2.019 1.604 9.541
3.208 0.000 3.817
0.000 0.000 7.633


Ta2PbBr (PBE, optimized geometry); crystal system = tetragonal; energy above the most stable polymorph in this dataset = 0.716 eV per atom; density of states at the Fermi level = 2.872 states/eV per cell; SG = P4/mmm, No. 123
1.0
3.456 0.000 0.000
0.000 3.456 0.000
0.000 0.000 6.932
Ta Pb Br
2 1 1
Cartesian
0.000 0.000 1.525
0.000 0.000 5.407
1.728 1.728 0.000
1.728 1.728 3.466


TaPbBr4 (PBE, optimized geometry); crystal system = cubic; density of states at the Fermi level = 9.793 states/eV per cell; SG = F-43m, No. 216
1.0
0.000 4.420 4.420
4.420 0.000 4.420
4.420 4.420 0.000
Ta Pb Br
1 1 4
Cartesian
0.000 0.000 0.000
2.210 2.210 2.210
5.533 3.307 3.307
3.307 5.533 3.307
3.307 3.307 5.533
5.533 5.533 5.533


Number 1: formation energy without anion corrections 1.46 eV/f.u.. Number 2: formation energy without anion corrections 2.53 eV/f.u.. Number 3: formation energy without anion corrections 3.74 eV/f.u.. Number 4: formation energy without anion corrections 0.69 eV/f.u.. Number 5: formation energy without anion corrections 1.34 eV/f.u.. Number 6: formation energy without anion corrections 4.06 eV/f.u.. Number 7: formation energy without anion corrections 1.99 eV/f.u.. Number 8: formation energy without anion corrections 0.54 eV/f.u.. Number 9: formation energy without anion corrections 1.42 eV/f.u.. Number 10: formation energy without anion corrections 3.65 eV/f.u.. Number 11: formation energy without anion corrections 3.33 eV/f.u.. Number 12: formation energy without anion corrections 6.26 eV/f.u..